Compound: Zr2OsPb
Source: Alexandria
Functional: SCAN
Structure: PBEsol geometry

Output
Theoretical density ... 11.856 Mg/m³
Energy of formation from the pure elements ... -483 meV per atom
Symmetry ... P4/mmm, No. 123
Total energy ... -52.7478 eV per atom

a = 3.146 Å, b = 3.146 Å, c = 8.208 Å
α = 90.00°, β = 90.00°, γ = 90.00°
Positions (direct):
Zr (0.000, 0.000, 0.205)
Zr (0.000, 0.000, 0.795)
Os (0.500, 0.500, 0.000)
Pb (0.500, 0.500, 0.500)

---

Compound: ReAgBr2
Source: Alexandria
Functional: SCAN
Structure: PBEsol geometry

Output
Excess energy over the best structure of this formula in the dataset ... 59.1 meV per atom
Uncorrected formation energy ... 0.852 eV per atom
Theoretical density ... 9.804 Mg/m³
Symmetry ... P2/m, No. 10
Total energy ... -34.4936 eV per atom

a = 3.000 Å, b = 4.196 Å, c = 6.252 Å
α = 90.00°, β = 102.45°, γ = 90.00°
Positions (direct):
Re (0.000, 0.000, 0.000)
Ag (0.500, 0.000, 0.500)
Br (0.056, 0.500, 0.238)
Br (0.944, 0.500, 0.762)